[1]
## AlGa2Br5 (PBE)

Data for a geometry-optimized AlGa2Br5 structure.

Values from the calculation:
Its magnetization is 0.0 μB per formula unit. The calculation puts the total energy at -99.49 eV for the cell shown.

abc: 9.649 10.990 13.388
angles: 72.40 68.88 63.96
Sites, in units of the cell vectors:
1 Al 0.903 0.021 0.325
2 Al 0.249 0.479 0.175
3 Al 0.751 0.521 0.825
4 Al 0.097 0.979 0.675
5 Ga 0.445 0.064 0.686
6 Ga 0.653 0.124 0.949
7 Ga 0.727 0.376 0.551
8 Ga 0.804 0.564 0.186
9 Ga 0.196 0.436 0.814
10 Ga 0.273 0.624 0.449
11 Ga 0.347 0.876 0.051
12 Ga 0.555 0.936 0.314
13 Br 0.875 0.994 0.168
14 Br 0.222 0.106 0.527
15 Br 0.822 0.064 0.691
16 Br 0.382 0.248 0.159
17 Br 0.789 0.252 0.341
18 Br 0.379 0.144 0.898
19 Br 0.421 0.356 0.602
20 Br 0.038 0.506 0.332
21 Br 0.145 0.606 0.027
22 Br 0.576 0.436 0.809
23 Br 0.424 0.564 0.191
24 Br 0.855 0.394 0.973
25 Br 0.962 0.494 0.668
26 Br 0.579 0.644 0.398
27 Br 0.621 0.856 0.102
28 Br 0.211 0.748 0.659
29 Br 0.618 0.752 0.841
30 Br 0.178 0.936 0.309
31 Br 0.778 0.894 0.473
32 Br 0.125 0.006 0.832


[2]
## Al2Ga3Br8 (PBE)

Data for a geometry-optimized Al2Ga3Br8 structure.

Values from the calculation:
Its magnetization is 0.0 μB per formula unit. The calculation puts the total energy at -39.89 eV for the cell shown.

abc: 6.634 8.176 9.549
angles: 64.65 69.04 90.00
Sites, in units of the cell vectors:
1 Al 0.118 0.671 0.658
2 Al 0.882 0.329 0.342
3 Ga 0.000 0.000 0.000
4 Ga 0.500 0.177 0.000
5 Ga 0.500 0.823 0.000
6 Br 0.265 0.403 0.195
7 Br 0.735 0.597 0.805
8 Br 0.191 0.815 0.370
9 Br 0.809 0.185 0.630
10 Br 0.260 0.869 0.730
11 Br 0.260 0.400 0.730
12 Br 0.740 0.600 0.270
13 Br 0.740 0.131 0.270


[3]
## AlGa2Br (PBE)

Data for a geometry-optimized AlGa2Br structure.

Values from the calculation:
The value obtained for the relative energy among the computed polymorphs is 18.1 kJ/mol of atoms. Its magnetization is 0.0 μB per formula unit.

abc: 5.026 5.026 5.026
angles: 60.00 60.00 60.00
Sites, in units of the cell vectors:
1 Ga 0.250 0.250 0.250
2 Ga 0.750 0.750 0.750
3 Br 0.500 0.500 0.500
4 Al 0.000 0.000 0.000


[4]
## AlGaBr3 (PBE)

Data for a geometry-optimized AlGaBr3 structure.

Values from the calculation:
The value obtained for the relative energy among the computed polymorphs is 0.0 kJ/mol of atoms. Its magnetization is 0.0 μB per formula unit.

abc: 5.314 5.314 5.314
angles: 90.00 90.00 90.00
Sites, in units of the cell vectors:
1 Al 0.000 0.000 0.000
2 Ga 0.500 0.500 0.500
3 Br 0.000 0.500 0.000
4 Br 0.000 0.000 0.500
5 Br 0.500 0.000 0.000


[5]
## AlGaBr (PBE)

Data for a geometry-optimized AlGaBr structure.

Values from the calculation:
Its magnetization is 0.0 μB per formula unit. The calculation puts the total energy at -36.59 eV for the cell shown.

abc: 5.446 7.791 7.791
angles: 80.41 72.14 72.14
Sites, in units of the cell vectors:
1 Br 0.246 0.623 0.873
2 Br 0.754 0.877 0.627
3 Br 0.754 0.377 0.127
4 Br 0.246 0.123 0.373
5 Al 0.147 0.343 0.593
6 Al 0.150 0.844 0.094
7 Al 0.853 0.657 0.407
8 Al 0.850 0.156 0.906
9 Ga 0.618 0.379 0.629
10 Ga 0.621 0.879 0.129
11 Ga 0.382 0.621 0.371
12 Ga 0.379 0.121 0.871


[6]
## AlGaHgBr4 (PBE)

Data for a geometry-optimized AlGaHgBr4 structure.

Values from the calculation:
Its magnetization is 0.0 μB per formula unit. The calculation puts the total energy at -38.57 eV for the cell shown.

abc: 7.888 7.888 10.077
angles: 78.27 78.27 81.60
Sites, in units of the cell vectors:
1 Al 0.649 0.649 0.735
2 Al 0.351 0.351 0.265
3 Ga 0.244 0.244 0.945
4 Ga 0.756 0.756 0.055
5 Hg 0.006 0.006 0.182
6 Hg 0.994 0.994 0.818
7 Br 0.210 0.210 0.469
8 Br 0.790 0.790 0.531
9 Br 0.151 0.507 0.126
10 Br 0.537 0.537 0.294
11 Br 0.493 0.849 0.874
12 Br 0.507 0.151 0.126
13 Br 0.463 0.463 0.706
14 Br 0.849 0.493 0.874


[7]
## Al2GaIBr (PBE)

Data for a geometry-optimized Al2GaIBr structure.

Values from the calculation:
Its magnetization is 0.0 μB per formula unit. The calculation puts the total energy at -10.70 eV for the cell shown.

abc: 6.071 6.102 6.071
angles: 90.00 90.00 90.00
Sites, in units of the cell vectors:
1 I 0.000 0.000 0.000
2 Ga 0.000 0.500 0.000
3 Br 0.500 0.500 0.500
4 Al 0.000 0.000 0.500
5 Al 0.500 0.000 0.000


[8]
## Al2InGaBr8 (PBE)

Data for a geometry-optimized Al2InGaBr8 structure.

Values from the calculation:
Its magnetization is 0.0 μB per formula unit. The calculation puts the total energy at -37.96 eV for the cell shown.

abc: 7.707 7.707 9.757
angles: 90.00 90.00 120.00
Sites, in units of the cell vectors:
1 Al 0.667 0.333 0.310
2 Al 0.333 0.667 0.690
3 In 0.000 0.000 0.500
4 Ga 0.000 0.000 0.000
5 Br 0.831 0.169 0.227
6 Br 0.831 0.663 0.227
7 Br 0.337 0.169 0.227
8 Br 0.663 0.831 0.773
9 Br 0.333 0.667 0.456
10 Br 0.667 0.333 0.544
11 Br 0.169 0.831 0.773
12 Br 0.169 0.337 0.773


[9]
## MgAl2GaBr (PBE)

Data for a geometry-optimized MgAl2GaBr structure.

Values from the calculation:
Its magnetization is 0.0 μB per formula unit. The calculation puts the total energy at -11.32 eV for the cell shown.

abc: 5.317 5.316 5.317
angles: 90.00 90.00 90.00
Sites, in units of the cell vectors:
1 Mg 0.000 0.000 0.000
2 Ga 0.500 0.500 0.500
3 Br 0.000 0.500 0.000
4 Al 0.000 0.000 0.500
5 Al 0.500 0.000 0.000


[10]
## Na4Al2GaSi3BrO12 (PBE)

Data for a geometry-optimized Na4Al2GaSi3BrO12 structure.

Values from the calculation:
Its magnetization is 0.2 μB per formula unit. The calculation puts the total energy at -303.31 eV for the cell shown.

abc: 9.048 9.048 9.047
angles: 90.01 90.01 89.98
Each line ends with the local moment (μB).
Sites, in units of the cell vectors:
1 Na 0.690 0.819 0.318  0.00
2 Na 0.685 0.177 0.689  0.00
3 Na 0.318 0.185 0.315  0.00
4 Na 0.314 0.813 0.678  0.00
5 Na 0.819 0.690 0.818  0.00
6 Na 0.177 0.685 0.189  0.00
7 Na 0.185 0.318 0.815  0.00
8 Na 0.813 0.314 0.178  0.00
9 Al 0.004 0.999 0.250  0.00
10 Al 0.499 0.250 0.003  0.00
11 Al 0.999 0.004 0.750  0.00
12 Al 0.250 0.499 0.503  0.00
13 Ga 0.750 0.499 0.497  0.00
14 Ga 0.499 0.750 0.997  0.00
15 Si 0.752 0.002 0.002  0.00
16 Si 0.002 0.752 0.502  0.00
17 Si 0.495 0.501 0.250  0.00
18 Si 0.002 0.248 0.498  0.00
19 Si 0.501 0.495 0.750  0.00
20 Si 0.248 0.002 0.998  0.00
21 Br 0.501 0.999 0.500  0.10
22 Br 0.999 0.501 0.000  0.10
23 O 0.656 0.861 0.065  0.00
24 O 0.946 0.848 0.359  0.00
25 O 0.636 0.569 0.343  0.01
26 O 0.651 0.142 0.947  0.00
27 O 0.939 0.152 0.638  0.00
28 O 0.636 0.427 0.650  0.01
29 O 0.349 0.139 0.059  0.00
30 O 0.065 0.146 0.362  0.00
31 O 0.360 0.440 0.354  0.00
32 O 0.346 0.865 0.928  0.01
33 O 0.059 0.854 0.641  0.00
34 O 0.360 0.556 0.653  0.00
35 O 0.861 0.656 0.565  0.00
36 O 0.848 0.946 0.859  0.00
37 O 0.569 0.636 0.843  0.01
38 O 0.142 0.651 0.447  0.00
39 O 0.152 0.939 0.138  0.00
40 O 0.427 0.636 0.150  0.01
41 O 0.139 0.349 0.559  0.00
42 O 0.146 0.065 0.862  0.00
43 O 0.440 0.360 0.854  0.00
44 O 0.865 0.346 0.428  0.01
45 O 0.854 0.059 0.141  0.00
46 O 0.556 0.360 0.153  0.00


[11]
## Nd8AlGa3Br4 (PBE)

Data for a geometry-optimized Nd8AlGa3Br4 structure.

Values from the calculation:
Its magnetization is 0.0 μB per formula unit. The calculation puts the total energy at -71.23 eV for the cell shown.

abc: 8.611 8.793 8.608
angles: 119.29 120.01 90.00
Sites, in units of the cell vectors:
1 Nd 0.246 0.731 0.986
2 Nd 0.246 0.731 0.491
3 Nd 0.258 0.274 0.516
4 Nd 0.740 0.731 0.986
5 Nd 0.260 0.269 0.014
6 Nd 0.742 0.726 0.484
7 Nd 0.754 0.269 0.509
8 Nd 0.754 0.269 0.014
9 Al 0.000 0.500 0.000
10 Ga 0.500 0.500 0.000
11 Ga 0.500 0.500 0.500
12 Ga 0.000 0.500 0.500
13 Br 0.500 0.000 0.000
14 Br 0.500 0.000 0.500
15 Br 0.000 0.000 0.000
16 Br 0.000 0.000 0.500


[12]
## Pr4AlGaBr2 (PBE)

Data for a geometry-optimized Pr4AlGaBr2 structure.

Values from the calculation:
Its magnetization is 0.0 μB per formula unit. The calculation puts the total energy at -35.73 eV for the cell shown.

abc: 4.534 6.804 8.218
angles: 110.05 90.00 90.00
Sites, in units of the cell vectors:
1 Pr 0.500 0.230 0.228
2 Pr 0.500 0.770 0.772
3 Pr 0.000 0.263 0.768
4 Pr 0.000 0.737 0.232
5 Al 0.500 0.500 0.000
6 Ga 0.000 0.000 0.000
7 Br 0.500 0.000 0.500
8 Br 0.000 0.500 0.500